{
  "formula": "Ta3Tc",
  "functional": "GGA-PBE",
  "state": "relaxed",
  "lattice_angstrom": [[4.140, 0.000, 0.000], [0.000, 4.140, 0.000], [0.000, 0.000, 4.140]],
  "species": ["Ta", "Ta", "Ta", "Tc"],
  "frac_coords": [[0.000, 0.000, 0.000], [0.000, 0.500, 0.500], [0.500, 0.000, 0.500], [0.500, 0.500, 0.000]],
  "ef_ev_per_atom": 0.1826,
  "spacegroup": "Pm-3m (221)",
  "de_polymorph_mev_per_atom": 461,
  "magnetic_moment_mub_per_cell": 0.000
}